Model A:
Density functional theory data (PBE) for a relaxed structure of Ga3IrN.

```
data_Ga3IrN
_symmetry_space_group_name_H-M 'P m -3 m'
_symmetry_Int_Tables_number 221
_symmetry_space_group_name_Hall '-P 4 2 3'
_cell_length_a 4.123
_cell_length_b 4.123
_cell_length_c 4.123
_cell_angle_alpha 90.00
_cell_angle_beta 90.00
_cell_angle_gamma 90.00
loop_
_atom_site_label
_atom_site_type_symbol
_atom_site_fract_x
_atom_site_fract_y
_atom_site_fract_z
Ga1 Ga 0.000 0.000 0.500
Ir1 Ir 0.500 0.500 0.500
N1 N 0.000 0.000 0.000
```

***

Model B:
Density functional theory data (PBE) for a relaxed structure of Ga3IrN.

```
data_Ga3IrN
_symmetry_space_group_name_H-M 'P m -3 m'
_symmetry_Int_Tables_number 221
_symmetry_space_group_name_Hall '-P 4 2 3'
_cell_length_a 4.804
_cell_length_b 4.804
_cell_length_c 4.804
_cell_angle_alpha 90.00
_cell_angle_beta 90.00
_cell_angle_gamma 90.00
loop_
_atom_site_label
_atom_site_type_symbol
_atom_site_fract_x
_atom_site_fract_y
_atom_site_fract_z
Ga1 Ga 0.000 0.000 0.500
Ir1 Ir 0.000 0.000 0.000
N1 N 0.500 0.500 0.500
```

***

Stability ranking, top and bottom: model A is the most stable and model B is the least stable.

***

Model A:
Density functional theory data (PBE) for a relaxed structure of GaIr2N.

```
data_GaIr2N
_symmetry_space_group_name_H-M 'F m -3 m'
_symmetry_Int_Tables_number 225
_symmetry_space_group_name_Hall '-F 4 2 3'
_cell_length_a 5.892
_cell_length_b 5.892
_cell_length_c 5.892
_cell_angle_alpha 90.00
_cell_angle_beta 90.00
_cell_angle_gamma 90.00
loop_
_atom_site_label
_atom_site_type_symbol
_atom_site_fract_x
_atom_site_fract_y
_atom_site_fract_z
Ga1 Ga 0.000 0.000 0.000
Ir1 Ir 0.250 0.250 0.250
N1 N 0.000 0.000 0.500
```

***

Model B:
Density functional theory data (PBE) for a relaxed structure of GaIr2N.

```
data_GaIr2N
_symmetry_space_group_name_H-M 'I -4 2 d'
_symmetry_Int_Tables_number 122
_symmetry_space_group_name_Hall 'I -4 2bw'
_cell_length_a 5.261
_cell_length_b 5.261
_cell_length_c 9.394
_cell_angle_alpha 90.00
_cell_angle_beta 90.00
_cell_angle_gamma 90.00
loop_
_atom_site_label
_atom_site_type_symbol
_atom_site_fract_x
_atom_site_fract_y
_atom_site_fract_z
Ga1 Ga 0.000 0.000 0.000
Ir1 Ir 0.160 0.250 0.625
N1 N 0.000 0.000 0.500
```

***

Stability ranking, top and bottom: model B is the most stable and model A is the least stable.

***

Model A:
Density functional theory data (PBE) for a relaxed structure of RbGaIr2N.

```
data_RbGaIr2N
_symmetry_space_group_name_H-M 'P 4/m m m'
_symmetry_Int_Tables_number 123
_symmetry_space_group_name_Hall '-P 4 2'
_cell_length_a 5.092
_cell_length_b 5.092
_cell_length_c 6.215
_cell_angle_alpha 90.00
_cell_angle_beta 90.00
_cell_angle_gamma 90.00
loop_
_atom_site_label
_atom_site_type_symbol
_atom_site_fract_x
_atom_site_fract_y
_atom_site_fract_z
Rb1 Rb 0.000 0.000 0.000
Ga1 Ga 0.000 0.000 0.500
Ir1 Ir 0.000 0.500 0.000
N1 N 0.500 0.500 0.500
```

***

Model B:
Density functional theory data (PBE) for a relaxed structure of RbGaIr2N.

```
data_RbGaIr2N
_symmetry_space_group_name_H-M 'P 4/m m m'
_symmetry_Int_Tables_number 123
_symmetry_space_group_name_Hall '-P 4 2'
_cell_length_a 5.093
_cell_length_b 5.093
_cell_length_c 4.389
_cell_angle_alpha 90.00
_cell_angle_beta 90.00
_cell_angle_gamma 90.00
loop_
_atom_site_label
_atom_site_type_symbol
_atom_site_fract_x
_atom_site_fract_y
_atom_site_fract_z
Rb1 Rb 0.000 0.000 0.000
Ga1 Ga 0.500 0.500 0.500
Ir1 Ir 0.000 0.500 0.000
N1 N 0.000 0.000 0.500
```

***

Stability ranking, top and bottom: model B is the most stable and model A is the least stable.

***

Model A:
Density functional theory data (PBE) for a relaxed structure of GaIrSN2.

```
data_GaIrSN2
_symmetry_space_group_name_H-M 'P 4/m m m'
_symmetry_Int_Tables_number 123
_symmetry_space_group_name_Hall '-P 4 2'
_cell_length_a 3.779
_cell_length_b 3.779
_cell_length_c 5.386
_cell_angle_alpha 90.00
_cell_angle_beta 90.00
_cell_angle_gamma 90.00
loop_
_atom_site_label
_atom_site_type_symbol
_atom_site_fract_x
_atom_site_fract_y
_atom_site_fract_z
Ga1 Ga 0.000 0.000 0.000
Ir1 Ir 0.500 0.500 0.500
S1 S 0.500 0.500 0.000
N1 N 0.000 0.500 0.500
```

***

Model B:
Density functional theory data (PBE) for a relaxed structure of GaIrSN2.

```
data_GaIrSN2
_symmetry_space_group_name_H-M 'P 4/m m m'
_symmetry_Int_Tables_number 123
_symmetry_space_group_name_Hall '-P 4 2'
_cell_length_a 3.683
_cell_length_b 3.683
_cell_length_c 5.478
_cell_angle_alpha 90.00
_cell_angle_beta 90.00
_cell_angle_gamma 90.00
loop_
_atom_site_label
_atom_site_type_symbol
_atom_site_fract_x
_atom_site_fract_y
_atom_site_fract_z
Ga1 Ga 0.000 0.000 0.000
Ir1 Ir 0.500 0.500 0.500
S1 S 0.000 0.000 0.500
N1 N 0.000 0.500 0.000
```

***

Stability ranking, top and bottom: model A is the most stable and model B is the least stable.

***

Model A:
Density functional theory data (PBE) for a relaxed structure of Na3GaIr.

```
data_Na3GaIr
_symmetry_space_group_name_H-M 'P m -3 m'
_symmetry_Int_Tables_number 221
_symmetry_space_group_name_Hall '-P 4 2 3'
_cell_length_a 5.266
_cell_length_b 5.266
_cell_length_c 5.266
_cell_angle_alpha 90.00
_cell_angle_beta 90.00
_cell_angle_gamma 90.00
loop_
_atom_site_label
_atom_site_type_symbol
_atom_site_fract_x
_atom_site_fract_y
_atom_site_fract_z
Na1 Na 0.000 0.000 0.500
Ga1 Ga 0.000 0.000 0.000
Ir1 Ir 0.500 0.500 0.500
```

***

Model B:
Density functional theory data (PBE) for a relaxed structure of Na3GaIr.

```
data_Na3GaIr
_symmetry_space_group_name_H-M 'P m -3 m'
_symmetry_Int_Tables_number 221
_symmetry_space_group_name_Hall '-P 4 2 3'
_cell_length_a 5.407
_cell_length_b 5.407
_cell_length_c 5.407
_cell_angle_alpha 90.00
_cell_angle_beta 90.00
_cell_angle_gamma 90.00
loop_
_atom_site_label
_atom_site_type_symbol
_atom_site_fract_x
_atom_site_fract_y
_atom_site_fract_z
Na1 Na 0.000 0.000 0.500
Ga1 Ga 0.500 0.500 0.500
Ir1 Ir 0.000 0.000 0.000
```

***

Stability ranking, top and bottom: model B is the most stable and model A is the least stable.

***

Model A:
Density functional theory data (PBE) for a relaxed structure of NaGa4Ir.

```
data_NaGa4Ir
_symmetry_space_group_name_H-M 'C m c m'
_symmetry_Int_Tables_number 63
_symmetry_space_group_name_Hall '-C 2c 2'
_cell_length_a 4.641
_cell_length_b 18.357
_cell_length_c 5.940
_cell_angle_alpha 90.00
_cell_angle_beta 90.00
_cell_angle_gamma 90.00
loop_
_atom_site_label
_atom_site_type_symbol
_atom_site_fract_x
_atom_site_fract_y
_atom_site_fract_z
Na1 Na 0.000 0.103 0.250
Ga1 Ga 0.000 0.147 0.750
Ga2 Ga 0.000 0.288 0.515
Ga3 Ga 0.000 0.500 0.000
Ir1 Ir 0.000 0.399 0.250
```

***

Model B:
Density functional theory data (PBE) for a relaxed structure of NaGa4Ir.

```
data_NaGa4Ir
_symmetry_space_group_name_H-M 'I 4/m c m'
_symmetry_Int_Tables_number 140
_symmetry_space_group_name_Hall '-I 4 2c'
_cell_length_a 6.278
_cell_length_b 6.278
_cell_length_c 12.152
_cell_angle_alpha 90.00
_cell_angle_beta 90.00
_cell_angle_gamma 90.00
loop_
_atom_site_label
_atom_site_type_symbol
_atom_site_fract_x
_atom_site_fract_y
_atom_site_fract_z
Na1 Na 0.000 0.000 0.000
Ga1 Ga 0.150 0.350 0.160
Ir1 Ir 0.000 0.000 0.250
```

***

Stability ranking, top and bottom: model A is the most stable and model B is the least stable.